(1)
Material: Mn2NbFe9
Method: DFT, PBE-GGA
State: optimized geometry

Unit cell a=4.6871 b=4.6871 c=23.4254 alpha=90.00 beta=90.00 gamma=120.00
Space group R-3m (No. 166, hexagonal axes)
Symmetry-distinct sites (fractional):
Mn  0.0000  0.0000  0.1462
Nb  0.0000  0.0000  0.0000
Fe  0.0000  0.0000  0.3336
Fe  0.0000  0.0000  0.5000
Fe  0.0048  0.5024  0.9142

## Properties
- spin magnetization (μB per cell) = 63.69
- DFT formation energy (eV/atom) = 0.12


(2)
Material: Mn2Nb2Fe
Method: DFT, PBE-GGA
State: optimized geometry

Unit cell a=5.9384 b=5.9384 c=4.0113 alpha=90.00 beta=90.00 gamma=90.00
Space group P4/mbm (No. 127)
Symmetry-distinct sites (fractional):
Mn  0.1264  0.3736  0.0000
Nb  0.1861  0.6861  0.5000
Fe  0.0000  0.0000  0.0000

## Properties
- spin magnetization (μB per cell) = 0.00
- DFT formation energy (eV/atom) = 0.14


(3)
Material: MnNb2Fe2
Method: DFT, PBE-GGA
State: optimized geometry

Unit cell a=5.9402 b=5.9402 c=3.9673 alpha=90.00 beta=90.00 gamma=90.00
Space group P4/mbm (No. 127)
Symmetry-distinct sites (fractional):
Mn  0.0000  0.0000  0.0000
Nb  0.1824  0.3176  0.5000
Fe  0.1325  0.6325  0.0000

## Properties
- spin magnetization (μB per cell) = 0.00
- DFT formation energy (eV/atom) = 0.11


Calculated density, record by record: 7.88, 8.25, 8.36 Mg/m³